[1]
5
Lattice="5.701 0.000 0.000 0.000 5.701 0.000 0.000 0.000 5.701" Properties=species:S:1:pos:R:3 comment="NiHgPb3 GGA-PBE optimized geometry" polymorph_energy_mev_per_atom=978 ef_mev_per_atom=1013 space_group="Pm-3m, No. 221" vol_a3_per_atom=37.07 final_energy_ev_per_atom=-2.43 total_magnetization_mub_per_cell=0.44 pbc="T T T"
Ni 0.000 0.000 0.000
Hg 2.851 2.851 2.851
Pb 0.000 2.851 2.851
Pb 2.851 0.000 2.851
Pb 2.851 2.851 0.000

---

[2]
16
Lattice="7.099 0.000 0.000 0.000 7.099 0.000 0.000 0.000 7.099" Properties=species:S:1:pos:R:3 comment="NiHg2Pb GGA-PBE optimized geometry" ef_mev_per_atom=374 space_group="F-43m, No. 216" vol_a3_per_atom=22.36 final_energy_ev_per_atom=-2.15 total_magnetization_mub_per_cell=0.00 pbc="T T T"
Ni 0.000 0.000 0.000
Ni 0.000 3.549 3.549
Ni 3.549 0.000 3.549
Ni 3.549 3.549 0.000
Hg 0.000 0.000 3.549
Hg 0.000 3.549 0.000
Hg 1.775 1.775 5.324
Hg 1.775 5.324 1.775
Hg 3.549 0.000 0.000
Hg 3.549 3.549 3.549
Hg 5.324 1.775 1.775
Hg 5.324 5.324 5.324
Pb 1.775 1.775 1.775
Pb 1.775 5.324 5.324
Pb 5.324 1.775 5.324
Pb 5.324 5.324 1.775